1.
The following is a DFT calculation (PBE) of a relaxed structure of KHfTlF6.

```
18
Lattice="-0.6926 4.4116 -4.7976 3.9580 -5.1569 -0.8363 -7.5997 -5.2308 -3.7129" Properties=species:S:1:pos:R:3 pbc="T T T"
K -4.8422 -2.7010 -6.2618
K 0.5079 -3.2751 -3.0849
Hf -1.0423 -0.0856 -4.4054
Hf -3.2920 -5.8905 -4.9414
F -3.2658 -5.1293 -3.0765
F -5.1532 -5.1523 -5.1627
F -0.3535 1.6198 -5.2270
F -1.4218 -6.6158 -4.7567
F -3.9808 -7.5959 -4.1198
F -1.0685 -0.8468 -6.2703
F -2.6285 -4.1644 -5.7403
F -1.0324 0.7091 -2.5543
F -1.7058 -1.8117 -3.6064
F -2.9126 0.6397 -4.5901
F 0.8189 -0.8238 -4.1841
F -3.3019 -6.6852 -6.7924
Tl -3.7999 -2.6154 -1.8565
Tl 0.0000 0.0000 0.0000
```

## Properties
- V: 370.0 Å³/cell
- Total moment: 0.00 μB/f.u.
- Uncorrected formation energy: -3236 meV per atom
- Electronic total energy: -107.55 eV per cell
- Crystal system: trigonal



2.
The following is a DFT calculation (PBE) of a relaxed structure of Mn2RuAu.

```
4
Lattice="-0.4940 3.4910 3.7501 1.1189 -1.4661 4.8055 1.8751 0.4154 -4.7755" Properties=species:S:1:pos:R:3 pbc="T T T"
Mn 0.6211 2.0124 8.5026
Mn 0.8429 2.4467 1.5721
Au 1.6523 -0.0224 2.1400
Ru 0.3213 1.0410 4.3986
```

## Properties
- V: 59.7 Å³/cell
- Total moment: 7.28 μB/f.u.
- Electronic total energy: -29.99 eV per cell
- Crystal system: orthorhombic



3.
The following is a DFT calculation (PBE) of a relaxed structure of CeNdMgAl.

```
4
Lattice="-4.3255 3.0985 -0.2601 -4.8547 -2.1727 0.2999 -2.9956 0.7617 4.3387" Properties=species:S:1:pos:R:3 pbc="T T T"
Mg -6.0879 0.8437 2.1892
Nd -9.1319 1.2656 3.2838
Al 0.0000 0.0000 0.0000
Ce -3.0440 0.4219 1.0946
```

## Properties
- V: 106.9 Å³/cell
- Total moment: 0.78 μB/f.u.
- Electronic total energy: -16.69 eV per cell
- Crystal system: cubic



4.
The following is a DFT calculation (PBE) of a relaxed structure of TlRe2Ni.

```
8
Lattice="-3.2420 -0.2835 -1.8861 1.2101 -3.1809 -1.6019 -4.8608 -6.9155 5.6441" Properties=species:S:1:pos:R:3 pbc="T T T"
Tl -4.5594 -4.4656 1.0070
Tl 0.0000 0.0000 0.0000
Re -2.9416 -2.2907 0.1184
Re -4.3521 -6.6315 2.8517
Re -5.4789 -8.0722 1.2545
Re -1.0127 -3.7654 0.0877
Ni -2.3333 -5.9143 1.1491
Ni -1.0160 -1.7322 -1.7440
```

## Properties
- V: 138.8 Å³/cell
- Total moment: 0.00 μB/f.u.
- Electronic total energy: -58.73 eV per cell
- Crystal system: tetragonal
- Offset from the most stable computed form: 400 meV per atom